# RbTlHg (PBE, relaxed)
# Polymorph energy (0 for the lowest one) in meV/atom: 13.2
# Total magnetic moment in Bohr magnetons per cell: 0.000
# Formation energy in kJ/mol of atoms: -12.4
data_RbTlHg
_chemical_formula_sum 'Rb4 Tl4 Hg4'
_cell_length_a 4.688
_cell_length_b 16.770
_cell_length_c 5.755
_cell_angle_alpha 90.00
_cell_angle_beta 90.00
_cell_angle_gamma 90.00
_symmetry_space_group_name_H-M 'C m c m'
_symmetry_Int_Tables_number 63
_symmetry_space_group_name_Hall '-C 2c 2'
loop_
_atom_site_label
_atom_site_type_symbol
_atom_site_fract_x
_atom_site_fract_y
_atom_site_fract_z
Rb1 Rb 0.000 0.080 0.250
Tl1 Tl 0.000 0.236 0.750
Hg1 Hg 0.000 0.386 0.250

***

# RbTl4Hg9 (PBE, relaxed)
# Total magnetic moment in Bohr magnetons per cell: 0.000
# Formation energy in kJ/mol of atoms: -4.8
data_RbTl4Hg9
_chemical_formula_sum 'Rb4 Tl16 Hg36'
_cell_length_a 10.884
_cell_length_b 10.884
_cell_length_c 14.764
_cell_angle_alpha 90.00
_cell_angle_beta 90.00
_cell_angle_gamma 90.00
_symmetry_space_group_name_H-M 'I 4/m c m'
_symmetry_Int_Tables_number 140
_symmetry_space_group_name_Hall '-I 4 2c'
loop_
_atom_site_label
_atom_site_type_symbol
_atom_site_fract_x
_atom_site_fract_y
_atom_site_fract_z
Rb1 Rb 0.000 0.000 0.250
Tl1 Tl 0.182 0.318 0.123
Hg1 Hg 0.000 0.500 0.000
Hg2 Hg 0.053 0.194 0.500
Hg3 Hg 0.119 0.381 0.325

***

# RbTl3Hg (PBE, relaxed)
# Polymorph energy (0 for the lowest one) in meV/atom: 89.1
# Total magnetic moment in Bohr magnetons per cell: 0.000
# Formation energy in kJ/mol of atoms: -1.4
data_RbTl3Hg
_chemical_formula_sum 'Rb2 Tl6 Hg2'
_cell_length_a 7.9196
_cell_length_b 7.9196
_cell_length_c 6.6551
_cell_angle_alpha 90.00
_cell_angle_beta 90.00
_cell_angle_gamma 120.00
_symmetry_space_group_name_H-M 'P 63/m m c'
_symmetry_Int_Tables_number 194
_symmetry_space_group_name_Hall '-P 6c 2c'
loop_
_atom_site_label
_atom_site_type_symbol
_atom_site_fract_x
_atom_site_fract_y
_atom_site_fract_z
Rb1 Rb 0.3333 0.6667 0.2500
Tl1 Tl 0.1892 0.3783 0.7500
Hg1 Hg 0.0000 0.0000 0.0000

***

# RbTl3Hg7 (PBE, relaxed)
# Total magnetic moment in Bohr magnetons per cell: 0.000
# Formation energy in kJ/mol of atoms: -5.2
data_RbTl3Hg7
_chemical_formula_sum 'Rb4 Tl12 Hg28'
_cell_length_a 3.660
_cell_length_b 20.985
_cell_length_c 18.057
_cell_angle_alpha 90.00
_cell_angle_beta 90.00
_cell_angle_gamma 90.00
_symmetry_space_group_name_H-M 'C m c m'
_symmetry_Int_Tables_number 63
_symmetry_space_group_name_Hall '-C 2c 2'
loop_
_atom_site_label
_atom_site_type_symbol
_atom_site_fract_x
_atom_site_fract_y
_atom_site_fract_z
Rb1 Rb 0.000 0.066 0.250
Tl1 Tl 0.000 0.091 0.024
Tl2 Tl 0.000 0.256 0.250
Hg1 Hg 0.000 0.301 0.066
Hg2 Hg 0.000 0.316 0.625
Hg3 Hg 0.000 0.400 0.250
Hg4 Hg 0.000 0.473 0.105